Here is an optimized crystal structure of InNiOsPt from OQMD via LeMat-Bulk. Energies are from PBE.

The total magnetic moment is 6.3 μB per cell. Its total energy is -6.08 eV per atom.

It has space group F-43m (No. 216), with a = 6.293 Å, b = 6.293 Å, c = 6.293 Å, α = 90.00°, β = 90.00° and γ = 90.00°. The inequivalent atoms are In at (0.000, 0.000, 0.000), Ni at (0.250, 0.250, 0.250), Os at (0.000, 0.000, 0.500) and Pt at (0.250, 0.250, 0.750).

=====

Here is an optimized crystal structure of Nd2TlZn2Ga from OQMD via LeMat-Bulk. Energies are from PBE.

The total magnetic moment is 0.0 μB per cell. Its total energy is -3.36 eV per atom.

It has space group P3m1 (No. 156), with a = 4.6477 Å, b = 4.6477 Å, c = 7.5678 Å, α = 90.00°, β = 90.00° and γ = 120.00°. The inequivalent atoms are Nd at (0.0000, 0.0000, 0.0000), Nd at (0.0000, 0.0000, 0.4858), Tl at (0.3333, 0.6667, 0.7145), Zn at (0.3333, 0.6667, 0.2739), Zn at (0.6667, 0.3333, 0.7962) and Ga at (0.6667, 0.3333, 0.2108).

=====

Here is an optimized crystal structure of KTbNbTe3 from OQMD via LeMat-Bulk. Energies are from PBE.

The total magnetic moment is 5.8 μB per cell. Its total energy is -5.02 eV per atom.

It has space group Cmcm (No. 63), with a = 4.321 Å, b = 16.291 Å, c = 11.386 Å, α = 90.00°, β = 90.00° and γ = 90.00°. The inequivalent atoms are K at (0.000, 0.250, 0.250), Tb at (0.000, 0.000, 0.000), Nb at (0.000, 0.469, 0.750), Te at (0.000, 0.078, 0.750) and Te at (0.000, 0.369, 0.557).

=====

Here is an optimized crystal structure of Na3CoH6 from OQMD via LeMat-Bulk. Energies are from PBE.

The total magnetic moment is 0.0 μB per cell. Its total energy is -3.36 eV per atom.

It has space group Pnma (No. 62), with a = 8.852 Å, b = 4.978 Å, c = 9.187 Å, α = 90.00°, β = 90.00° and γ = 90.00°. The inequivalent atoms are Na at (0.045, 0.250, 0.125), Na at (0.105, 0.750, 0.535), Na at (0.217, 0.250, 0.750), Co at (0.221, 0.250, 0.400), H at (0.110, 0.038, 0.340), H at (0.129, 0.250, 0.540), H at (0.173, 0.527, 0.963) and H at (0.192, 0.750, 0.754).